Y2MnBeO6: relaxed, PBE+U.

Computed properties:
- symmetry = P2_1/c
- D(E_F) (states/eV/cell) = 0.0
- E (eV per atom) = -8.024

Unit cell a=5.211 b=5.417 c=7.303 alpha=90.00 beta=90.03 gamma=90.00
Each line ends with the local moment (μB).
Sites, in units of the cell vectors:
Y  0.012  0.938  0.251  0.01
Y  0.512  0.562  0.751  0.01
Y  0.988  0.062  0.749  0.01
Y  0.488  0.438  0.249  0.01
Mn  0.500  0.000  0.500  3.09
Mn  0.000  0.500  0.000  3.09
Be  0.500  0.000  0.000  0.00
Be  0.000  0.500  0.500  0.00
O  0.297  0.704  0.045  -0.03
O  0.797  0.796  0.545  -0.03
O  0.703  0.296  0.955  -0.03
O  0.203  0.204  0.455  -0.03
O  0.297  0.704  0.456  -0.03
O  0.797  0.796  0.956  -0.03
O  0.703  0.296  0.544  -0.03
O  0.203  0.204  0.044  -0.03
O  0.916  0.521  0.257  -0.03
O  0.416  0.979  0.757  -0.03
O  0.084  0.479  0.743  -0.03
O  0.584  0.021  0.243  -0.03